*A*
VASP calculation (PBE) on a geometry-optimized LiLaY2H structure.

abc: 4.904 4.904 5.076
angles: 90.00 90.00 90.00
Atoms (fractional coordinates):
Li 0.000 0.000 0.000
La 0.500 0.500 0.000
Y 0.000 0.500 0.500
Y 0.500 0.000 0.500
H 0.000 0.000 0.500

Results
SG ... P4/mmm



*B*
VASP calculation (PBE) on a geometry-optimized LiLaY2H structure.

abc: 4.954 4.954 5.061
angles: 90.00 90.00 90.00
Atoms (fractional coordinates):
Li 0.000 0.000 0.000
La 0.500 0.500 0.000
Y 0.000 0.500 0.500
Y 0.500 0.000 0.500
H 0.500 0.500 0.500

Results
SG ... P4/mmm



Most stable to least stable, the ends of the list are *B* and *A*.



*A*
VASP calculation (PBE) on a geometry-optimized LiLa2ZrH structure.

abc: 5.273 5.273 4.271
angles: 90.00 90.00 90.00
Atoms (fractional coordinates):
Li 0.000 0.000 0.000
La 0.000 0.500 0.500
La 0.500 0.000 0.500
Zr 0.500 0.500 0.000
H 0.500 0.500 0.500

Results
SG ... P4/mmm



*B*
VASP calculation (PBE) on a geometry-optimized LiLa2ZrH structure.

abc: 5.252 5.252 4.065
angles: 90.00 90.00 90.00
Atoms (fractional coordinates):
Li 0.000 0.000 0.000
La 0.000 0.500 0.500
La 0.500 0.000 0.500
Zr 0.500 0.500 0.000
H 0.000 0.000 0.500

Results
SG ... P4/mmm



Most stable to least stable, the ends of the list are *B* and *A*.



*A*
VASP calculation (PBE) on a geometry-optimized LaMgH3 structure.

abc: 3.969 3.969 3.969
angles: 90.00 90.00 90.00
Atoms (fractional coordinates):
La 0.000 0.000 0.000
Mg 0.500 0.500 0.500
H 0.000 0.500 0.500
H 0.500 0.000 0.500
H 0.500 0.500 0.000

Results
SG ... Pm-3m



*B*
VASP calculation (PBE) on a geometry-optimized LaMgH3 structure.

abc: 4.497 4.497 4.497
angles: 90.00 90.00 90.00
Atoms (fractional coordinates):
La 0.000 0.000 0.000
Mg 0.500 0.500 0.500
H 0.000 0.000 0.500
H 0.000 0.500 0.000
H 0.500 0.000 0.000

Results
SG ... Pm-3m



Most stable to least stable, the ends of the list are *A* and *B*.